No. 1
# HgAsIr2

A relaxed HgAsIr2 crystal (PBE-GGA, the Alexandria database).

Cell lengths 7.121, 7.121, 5.777 Å; angles 51.95, 51.95, 90.00 degrees
Fractional positions:
As1 0.500 0.500 0.000
As2 0.250 0.750 0.500
Ir1 0.572 0.125 0.250
Ir2 0.178 0.625 0.250
Ir3 0.375 0.428 0.750
Ir4 0.875 0.822 0.750
Hg1 0.000 0.000 0.000
Hg2 0.750 0.250 0.500

E above lowest polymorph = 0.183 eV/atom
energy of formation = 0.41 eV/atom
uncorrected energy = -5.255 eV/atom


No. 2
# NaY2Ni

A relaxed NaY2Ni crystal (PBE-GGA, the Alexandria database).

Cell lengths 3.911, 3.911, 10.493 Å; angles 79.26, 79.26, 60.00 degrees
Fractional positions:
Y1 0.120 0.120 0.641
Y2 0.880 0.880 0.359
Ni1 0.500 0.500 0.500
Na1 0.000 0.000 0.000

E above lowest polymorph = 0.094 eV/atom
energy of formation = 0.00 eV/atom
uncorrected energy = -5.012 eV/atom


No. 3
# CrInSn3

A relaxed CrInSn3 crystal (PBE-GGA, the Alexandria database).

Cell lengths 5.107, 5.107, 5.107 Å; angles 90.00, 90.00, 90.00 degrees
Each line ends with the local moment (μB).
Fractional positions:
Cr1 0.000 0.000 0.000  0.87
Sn1 0.000 0.500 0.000  -0.04
Sn2 0.000 0.000 0.500  -0.01
Sn3 0.500 0.000 0.000  -0.05
In1 0.500 0.500 0.500  0.01

E above lowest polymorph = 0.000 eV/atom
energy of formation = 0.25 eV/atom
uncorrected energy = -4.626 eV/atom


No. 4
# La3Ga4Cl

A relaxed La3Ga4Cl crystal (PBE-GGA, the Alexandria database).

Cell lengths 8.145, 8.145, 8.145 Å; angles 119.36, 119.36, 91.12 degrees
Fractional positions:
La1 0.661 0.161 0.822
La2 0.161 0.339 0.500
La3 0.839 0.661 0.500
La4 0.750 0.750 0.000
La5 0.339 0.839 0.178
La6 0.250 0.250 0.000
Ga1 0.945 0.445 0.786
Ga2 0.841 0.055 0.500
Ga3 0.341 0.841 0.786
Ga4 0.445 0.659 0.500
Ga5 0.555 0.341 0.500
Ga6 0.055 0.555 0.214
Ga7 0.159 0.945 0.500
Ga8 0.659 0.159 0.214
Cl1 0.500 0.500 0.000
Cl2 0.000 0.000 0.000

uncorrected energy = -4.598 eV/atom


No. 5
# Sm2Mg3Tl4

A relaxed Sm2Mg3Tl4 crystal (PBE-GGA, the Alexandria database).

Cell lengths 6.538, 8.565, 9.015 Å; angles 90.00, 111.26, 90.00 degrees
Fractional positions:
Sm1 0.106 0.590 0.213
Sm2 0.894 0.410 0.787
Sm3 0.394 0.090 0.787
Sm4 0.606 0.910 0.213
Mg1 0.000 0.000 0.000
Mg2 0.500 0.500 0.000
Mg3 0.524 0.750 0.549
Mg4 0.976 0.250 0.451
Mg5 0.476 0.250 0.451
Mg6 0.024 0.750 0.549
Tl1 0.698 0.750 0.896
Tl2 0.802 0.250 0.104
Tl3 0.302 0.250 0.104
Tl4 0.198 0.750 0.896
Tl5 0.177 0.966 0.354
Tl6 0.823 0.034 0.646
Tl7 0.323 0.466 0.646
Tl8 0.677 0.534 0.354

energy of formation = -0.20 eV/atom
uncorrected energy = -2.832 eV/atom


No. 6
# HoBe4Pt12

A relaxed HoBe4Pt12 crystal (PBE-GGA, the Alexandria database).

Cell lengths 6.976, 6.976, 6.976 Å; angles 109.47, 109.47, 109.47 degrees
Fractional positions:
Ho1 0.000 0.000 0.000
Be1 0.000 0.500 0.000
Be2 0.500 0.000 0.000
Be3 0.500 0.500 0.500
Be4 0.000 0.000 0.500
Pt1 0.833 0.329 0.162
Pt2 0.329 0.496 0.167
Pt3 0.838 0.167 0.671
Pt4 0.329 0.162 0.833
Pt5 0.162 0.833 0.329
Pt6 0.671 0.504 0.833
Pt7 0.496 0.167 0.329
Pt8 0.504 0.833 0.671
Pt9 0.671 0.838 0.167
Pt10 0.833 0.671 0.504
Pt11 0.167 0.329 0.496
Pt12 0.167 0.671 0.838

energy of formation = -0.30 eV/atom
uncorrected energy = -5.710 eV/atom


No. 7
# RbHfPaO6

A relaxed RbHfPaO6 crystal (PBE-GGA, the Alexandria database).

Cell lengths 4.912, 5.955, 5.955 Å; angles 120.00, 90.00, 90.00 degrees
Each line ends with the local moment (μB).
Fractional positions:
Rb1 0.500 0.667 0.333  0.00
Hf1 0.500 0.000 0.000  -0.06
Pa1 0.000 0.333 0.667  -0.09
O1 0.744 0.675 0.778  0.30
O2 0.744 0.222 0.897  0.30
O3 0.744 0.103 0.325  0.30
O4 0.256 0.222 0.325  0.30
O5 0.256 0.675 0.897  0.30
O6 0.256 0.103 0.778  0.30

uncorrected energy = -8.127 eV/atom


No. 8
# Rb5Hg3I12

A relaxed Rb5Hg3I12 crystal (PBE-GGA, the Alexandria database).

Cell lengths 17.953, 17.953, 17.953 Å; angles 109.47, 109.47, 109.47 degrees
Fractional positions:
Hg1 0.750 0.375 0.125
Hg2 0.875 0.750 0.125
Hg3 0.375 0.750 0.625
Hg4 0.250 0.125 0.375
Hg5 0.875 0.125 0.250
Hg6 0.375 0.625 0.250
Hg7 0.625 0.375 0.750
Hg8 0.125 0.875 0.750
Hg9 0.750 0.875 0.625
Hg10 0.625 0.250 0.375
Hg11 0.125 0.250 0.875
Hg12 0.250 0.625 0.875
Rb1 0.125 0.375 0.250
Rb2 0.000 0.500 0.000
Rb3 0.000 0.000 0.000
Rb4 0.375 0.250 0.125
Rb5 0.500 0.000 0.500
Rb6 0.500 0.500 0.000
Rb7 0.125 0.750 0.375
Rb8 0.750 0.125 0.875
Rb9 0.750 0.625 0.375
Rb10 0.375 0.125 0.750
Rb11 0.625 0.875 0.250
Rb12 0.500 0.500 0.500
Rb13 0.500 0.000 0.000
Rb14 0.000 0.000 0.500
Rb15 0.250 0.375 0.625
Rb16 0.250 0.875 0.125
Rb17 0.000 0.500 0.500
Rb18 0.875 0.250 0.625
Rb19 0.625 0.750 0.875
Rb20 0.875 0.625 0.750
I1 0.613 0.192 0.977
I2 0.364 0.477 0.285
I3 0.023 0.308 0.387
I4 0.477 0.113 0.192
I5 0.421 0.613 0.636
I6 0.023 0.715 0.136
I7 0.364 0.887 0.579
I8 0.215 0.079 0.192
I9 0.715 0.023 0.636
I10 0.613 0.421 0.136
I11 0.887 0.523 0.308
I12 0.864 0.785 0.977
I13 0.192 0.613 0.477
I14 0.308 0.285 0.921
I15 0.921 0.785 0.308
I16 0.579 0.192 0.715
I17 0.921 0.136 0.113
I18 0.523 0.636 0.215
I19 0.864 0.079 0.387
I20 0.192 0.579 0.215
I21 0.308 0.023 0.887
I22 0.715 0.692 0.579
I23 0.785 0.864 0.477
I24 0.887 0.364 0.079
I25 0.285 0.308 0.421
I26 0.215 0.136 0.523
I27 0.113 0.636 0.921
I28 0.136 0.921 0.613
I29 0.692 0.977 0.113
I30 0.808 0.421 0.785
I31 0.477 0.364 0.785
I32 0.421 0.808 0.285
I33 0.079 0.864 0.887
I34 0.079 0.215 0.692
I35 0.808 0.387 0.523
I36 0.136 0.215 0.023
I37 0.692 0.715 0.079
I38 0.285 0.977 0.364
I39 0.387 0.579 0.864
I40 0.113 0.477 0.692
I41 0.785 0.921 0.808
I42 0.636 0.113 0.421
I43 0.523 0.887 0.808
I44 0.977 0.285 0.864
I45 0.579 0.387 0.364
I46 0.977 0.692 0.613
I47 0.636 0.523 0.715
I48 0.387 0.808 0.023

uncorrected energy = -2.014 eV/atom


No. 9
# LiHoLuFe

A relaxed LiHoLuFe crystal (PBE-GGA, the Alexandria database).

Cell lengths 4.778, 4.778, 4.778 Å; angles 60.00, 60.00, 60.00 degrees
Fractional positions:
Lu1 0.750 0.750 0.750
Li1 0.500 0.500 0.500
Ho1 0.250 0.250 0.250
Fe1 0.000 0.000 0.000

energy of formation = 0.05 eV/atom
uncorrected energy = -4.816 eV/atom


No. 10
# Ti3Nb5

A relaxed Ti3Nb5 crystal (PBE-GGA, the Alexandria database).

Cell lengths 3.868, 3.868, 9.957 Å; angles 101.20, 101.20, 90.00 degrees
Fractional positions:
Ti1 0.130 0.130 0.260
Ti2 0.870 0.870 0.740
Ti3 0.250 0.750 0.500
Nb1 0.624 0.624 0.248
Nb2 0.998 0.498 0.997
Nb3 0.376 0.376 0.752
Nb4 0.750 0.250 0.500
Nb5 0.502 0.002 0.003

E above lowest polymorph = 0.000 eV/atom
energy of formation = 0.09 eV/atom
uncorrected energy = -9.164 eV/atom


No. 11
# CaLaC4

A relaxed CaLaC4 crystal (PBE-GGA, the Alexandria database).

Cell lengths 3.932, 4.268, 6.961 Å; angles 80.59, 73.59, 62.57 degrees
Fractional positions:
Ca1 0.500 0.500 0.500
La1 0.000 0.000 0.000
C1 0.795 0.614 0.795
C2 0.305 0.088 0.303
C3 0.205 0.386 0.205
C4 0.695 0.912 0.697

energy of formation = -0.05 eV/atom
uncorrected energy = -7.358 eV/atom


No. 12
# NbReCBr2

A relaxed NbReCBr2 crystal (PBE-GGA, the Alexandria database).

Cell lengths 4.408, 4.381, 4.408 Å; angles 90.00, 90.00, 90.00 degrees
Fractional positions:
Re1 0.500 0.500 0.500
Nb1 0.000 0.500 0.000
C1 0.000 0.000 0.000
Br1 0.000 0.000 0.500
Br2 0.500 0.000 0.000

uncorrected energy = -5.068 eV/atom